A PBEsol-optimized structure of TlCoAu2. Source: the Alexandria database, functional SCAN.

Lattice parameters (Å, degrees): 4.1724 4.1724 7.6442 90.00 90.00 90.00
Closest atoms and distances in Å follow each position.
Space group I-4m2 (No. 119)
Symmetry-distinct sites (fractional):
Tl 0.0000 0.0000 0.0000 (multiplicity 2)  4 Co 2.83, 8 Au 2.83-2.95
Co 0.0000 0.5000 0.7500 (multiplicity 2)  4 Tl 2.83, 8 Au 2.83-2.95
Au 0.0000 0.0000 0.5000 (multiplicity 2)  4 Co 2.83, 4 Au 2.83, 4 Tl 2.95
Au 0.0000 0.5000 0.2500 (multiplicity 2)  4 Tl 2.83, 4 Au 2.83, 4 Co 2.95

Computed properties:
Magnetization in μB per cell: 3.91
Uncorrected energy in eV per atom: -56.656
ρ in g/cm3: 16.40
ΔH_f (0 K) in kJ/mol of formula units: 130.5